Below is a relaxed LaBeTe crystal, with properties calculated at the GGA-PBEsol level.

Output
As for the distance to the lowest polymorph of the same formula: 0.369 eV per atom. The calculation puts the formation energy without anion corrections at 50 meV per atom. The calculation puts the total magnetic moment at 0.00 μB per cell.

Lattice parameters (Å, degrees): 5.057 5.057 5.057 60.00 60.00 60.00
Element x y z (fractional)
Be (0.500, 0.500, 0.500)
Te (0.000, 0.000, 0.000)
La (0.250, 0.250, 0.250)